Run w
## YMgZnFe (PBE)

Data for YMgZnFe after structural relaxation.

```
data_YMgZnFe
_chemical_formula_sum 'Y4 Mg4 Zn4 Fe4'
_space_group_name_H-M_alt 'F -4 3 m'
_space_group_IT_number 216
_space_group_name_Hall 'F -4 2 3'
_cell_length_a 6.7157
_cell_length_b 6.7157
_cell_length_c 6.7157
_cell_angle_alpha 90.00
_cell_angle_beta 90.00
_cell_angle_gamma 90.00
loop_
_atom_site_label
_atom_site_type_symbol
_atom_site_fract_x
_atom_site_fract_y
_atom_site_fract_z
Y1 Y 0.0000 0.0000 0.0000
Mg1 Mg 0.2500 0.2500 0.2500
Zn1 Zn 0.0000 0.0000 0.5000
Fe1 Fe 0.2500 0.2500 0.7500
```

=====

Run x
## YMgZnFe (PBE)

Data for YMgZnFe after structural relaxation.

```
data_YMgZnFe
_chemical_formula_sum 'Y4 Mg4 Zn4 Fe4'
_space_group_name_H-M_alt 'F -4 3 m'
_space_group_IT_number 216
_space_group_name_Hall 'F -4 2 3'
_cell_length_a 6.6979
_cell_length_b 6.6979
_cell_length_c 6.6979
_cell_angle_alpha 90.00
_cell_angle_beta 90.00
_cell_angle_gamma 90.00
loop_
_atom_site_label
_atom_site_type_symbol
_atom_site_fract_x
_atom_site_fract_y
_atom_site_fract_z
Y1 Y 0.0000 0.0000 0.0000
Mg1 Mg 0.2500 0.2500 0.7500
Zn1 Zn 0.2500 0.2500 0.2500
Fe1 Fe 0.0000 0.0000 0.5000
```

=====

Which one is most stable, and which one is least stable? run x is the most stable of them, while run w is the least stable.

=====

Run w
## NaTlFeMo (PBE)

Data for NaTlFeMo after structural relaxation.

```
data_NaTlFeMo
_chemical_formula_sum 'Na4 Tl4 Fe4 Mo4'
_space_group_name_H-M_alt 'F -4 3 m'
_space_group_IT_number 216
_space_group_name_Hall 'F -4 2 3'
_cell_length_a 6.5916
_cell_length_b 6.5916
_cell_length_c 6.5916
_cell_angle_alpha 90.00
_cell_angle_beta 90.00
_cell_angle_gamma 90.00
loop_
_atom_site_label
_atom_site_type_symbol
_atom_site_fract_x
_atom_site_fract_y
_atom_site_fract_z
Na1 Na 0.0000 0.0000 0.0000
Tl1 Tl 0.2500 0.2500 0.2500
Fe1 Fe 0.2500 0.2500 0.7500
Mo1 Mo 0.0000 0.0000 0.5000
```

=====

Run x
## NaTlFeMo (PBE)

Data for NaTlFeMo after structural relaxation.

```
data_NaTlFeMo
_chemical_formula_sum 'Na4 Tl4 Fe4 Mo4'
_space_group_name_H-M_alt 'F -4 3 m'
_space_group_IT_number 216
_space_group_name_Hall 'F -4 2 3'
_cell_length_a 6.3508
_cell_length_b 6.3508
_cell_length_c 6.3508
_cell_angle_alpha 90.00
_cell_angle_beta 90.00
_cell_angle_gamma 90.00
loop_
_atom_site_label
_atom_site_type_symbol
_atom_site_fract_x
_atom_site_fract_y
_atom_site_fract_z
Na1 Na 0.0000 0.0000 0.0000
Tl1 Tl 0.2500 0.2500 0.2500
Fe1 Fe 0.0000 0.0000 0.5000
Mo1 Mo 0.2500 0.2500 0.7500
```

=====

Which one is most stable, and which one is least stable? run x is the most stable of them, while run w is the least stable.

=====

Run w
## FeSiNiMo (PBE)

Data for FeSiNiMo after structural relaxation.

```
data_FeSiNiMo
_chemical_formula_sum 'Fe4 Si4 Ni4 Mo4'
_space_group_name_H-M_alt 'F -4 3 m'
_space_group_IT_number 216
_space_group_name_Hall 'F -4 2 3'
_cell_length_a 5.8170
_cell_length_b 5.8170
_cell_length_c 5.8170
_cell_angle_alpha 90.00
_cell_angle_beta 90.00
_cell_angle_gamma 90.00
loop_
_atom_site_label
_atom_site_type_symbol
_atom_site_fract_x
_atom_site_fract_y
_atom_site_fract_z
Fe1 Fe 0.0000 0.0000 0.0000
Si1 Si 0.2500 0.2500 0.7500
Ni1 Ni 0.2500 0.2500 0.2500
Mo1 Mo 0.0000 0.0000 0.5000
```

=====

Run x
## FeSiNiMo (PBE)

Data for FeSiNiMo after structural relaxation.

```
data_FeSiNiMo
_chemical_formula_sum 'Fe4 Si4 Ni4 Mo4'
_space_group_name_H-M_alt 'F -4 3 m'
_space_group_IT_number 216
_space_group_name_Hall 'F -4 2 3'
_cell_length_a 5.8197
_cell_length_b 5.8197
_cell_length_c 5.8197
_cell_angle_alpha 90.00
_cell_angle_beta 90.00
_cell_angle_gamma 90.00
loop_
_atom_site_label
_atom_site_type_symbol
_atom_site_fract_x
_atom_site_fract_y
_atom_site_fract_z
Fe1 Fe 0.0000 0.0000 0.0000
Si1 Si 0.0000 0.0000 0.5000
Ni1 Ni 0.2500 0.2500 0.7500
Mo1 Mo 0.2500 0.2500 0.2500
```

=====

Which one is most stable, and which one is least stable? run x is the most stable of them, while run w is the least stable.

=====

Run w
## RbFeMo (PBE)

Data for RbFeMo after structural relaxation.

```
data_RbFeMo
_chemical_formula_sum 'Rb4 Fe4 Mo4'
_space_group_name_H-M_alt 'F -4 3 m'
_space_group_IT_number 216
_space_group_name_Hall 'F -4 2 3'
_cell_length_a 6.2865
_cell_length_b 6.2865
_cell_length_c 6.2865
_cell_angle_alpha 90.00
_cell_angle_beta 90.00
_cell_angle_gamma 90.00
loop_
_atom_site_label
_atom_site_type_symbol
_atom_site_fract_x
_atom_site_fract_y
_atom_site_fract_z
Rb1 Rb 0.0000 0.0000 0.0000
Fe1 Fe 0.2500 0.2500 0.7500
Mo1 Mo 0.0000 0.0000 0.5000
```

=====

Run x
## RbFeMo (PBE)

Data for RbFeMo after structural relaxation.

```
data_RbFeMo
_chemical_formula_sum 'Rb4 Fe4 Mo4'
_space_group_name_H-M_alt 'F -4 3 m'
_space_group_IT_number 216
_space_group_name_Hall 'F -4 2 3'
_cell_length_a 7.1899
_cell_length_b 7.1899
_cell_length_c 7.1899
_cell_angle_alpha 90.00
_cell_angle_beta 90.00
_cell_angle_gamma 90.00
loop_
_atom_site_label
_atom_site_type_symbol
_atom_site_fract_x
_atom_site_fract_y
_atom_site_fract_z
Rb1 Rb 0.0000 0.0000 0.0000
Fe1 Fe 0.2500 0.2500 0.7500
Mo1 Mo 0.2500 0.2500 0.2500
```

=====

Which one is most stable, and which one is least stable? run w is the most stable of them, while run x is the least stable.

=====

Run w
## YFeSbMo (PBE)

Data for YFeSbMo after structural relaxation.

```
data_YFeSbMo
_chemical_formula_sum 'Y4 Fe4 Sb4 Mo4'
_space_group_name_H-M_alt 'F -4 3 m'
_space_group_IT_number 216
_space_group_name_Hall 'F -4 2 3'
_cell_length_a 6.6570
_cell_length_b 6.6570
_cell_length_c 6.6570
_cell_angle_alpha 90.00
_cell_angle_beta 90.00
_cell_angle_gamma 90.00
loop_
_atom_site_label
_atom_site_type_symbol
_atom_site_fract_x
_atom_site_fract_y
_atom_site_fract_z
Y1 Y 0.0000 0.0000 0.0000
Fe1 Fe 0.0000 0.0000 0.5000
Sb1 Sb 0.2500 0.2500 0.2500
Mo1 Mo 0.2500 0.2500 0.7500
```

=====

Run x
## YFeSbMo (PBE)

Data for YFeSbMo after structural relaxation.

```
data_YFeSbMo
_chemical_formula_sum 'Y4 Fe4 Sb4 Mo4'
_space_group_name_H-M_alt 'F -4 3 m'
_space_group_IT_number 216
_space_group_name_Hall 'F -4 2 3'
_cell_length_a 6.6046
_cell_length_b 6.6046
_cell_length_c 6.6046
_cell_angle_alpha 90.00
_cell_angle_beta 90.00
_cell_angle_gamma 90.00
loop_
_atom_site_label
_atom_site_type_symbol
_atom_site_fract_x
_atom_site_fract_y
_atom_site_fract_z
Y1 Y 0.0000 0.0000 0.0000
Fe1 Fe 0.2500 0.2500 0.7500
Sb1 Sb 0.0000 0.0000 0.5000
Mo1 Mo 0.2500 0.2500 0.2500
```

=====

Which one is most stable, and which one is least stable? run x is the most stable of them, while run w is the least stable.

=====

Run w
## SmFeMo (PBE)

Data for SmFeMo after structural relaxation.

```
data_SmFeMo
_chemical_formula_sum 'Sm4 Fe4 Mo4'
_space_group_name_H-M_alt 'F -4 3 m'
_space_group_IT_number 216
_space_group_name_Hall 'F -4 2 3'
_cell_length_a 6.2100
_cell_length_b 6.2100
_cell_length_c 6.2100
_cell_angle_alpha 90.00
_cell_angle_beta 90.00
_cell_angle_gamma 90.00
loop_
_atom_site_label
_atom_site_type_symbol
_atom_site_fract_x
_atom_site_fract_y
_atom_site_fract_z
Sm1 Sm 0.0000 0.0000 0.0000
Fe1 Fe 0.2500 0.2500 0.7500
Mo1 Mo 0.0000 0.0000 0.5000
```

=====

Run x
## SmFeMo (PBE)

Data for SmFeMo after structural relaxation.

```
data_SmFeMo
_chemical_formula_sum 'Sm4 Fe4 Mo4'
_space_group_name_H-M_alt 'F -4 3 m'
_space_group_IT_number 216
_space_group_name_Hall 'F -4 2 3'
_cell_length_a 6.4273
_cell_length_b 6.4273
_cell_length_c 6.4273
_cell_angle_alpha 90.00
_cell_angle_beta 90.00
_cell_angle_gamma 90.00
loop_
_atom_site_label
_atom_site_type_symbol
_atom_site_fract_x
_atom_site_fract_y
_atom_site_fract_z
Sm1 Sm 0.0000 0.0000 0.0000
Fe1 Fe 0.2500 0.2500 0.7500
Mo1 Mo 0.2500 0.2500 0.2500
```

=====

Which one is most stable, and which one is least stable? run w is the most stable of them, while run x is the least stable.